Here is Al2GaSn at its PBEsol-relaxed geometry from the Alexandria database. Energies are from SCAN.

Summary:
Formation energy (eV per atom): 0.220
Magnetization (μB per formula unit): 0.0

Unit cell a=5.7108 b=6.0480 c=6.0480 alpha=77.12 beta=61.83 gamma=61.83
Closest atoms and distances in Å follow each position.
Element x y z (fractional)
Sn: 0.0000 0.0000 0.0000  2 Ga 2.86, 4 Al 2.89
Sn: 0.7500 0.5000 0.5000  2 Ga 2.86, 4 Al 2.89
Ga: 0.5000 0.0000 0.0000  4 Al 2.64, 2 Sn 2.86
Ga: 0.2500 0.5000 0.5000  4 Al 2.64, 2 Sn 2.86
Al: 0.8750 0.9753 0.5247  2 Ga 2.64, 2 Al 2.88, 2 Sn 2.89
Al: 0.3750 0.0247 0.4753  2 Ga 2.64, 2 Al 2.88, 2 Sn 2.89
Al: 0.6003 0.5247 0.0247  2 Ga 2.64, 2 Al 2.88, 2 Sn 2.89
Al: 0.1497 0.4753 0.9753  2 Ga 2.64, 2 Al 2.88, 2 Sn 2.89